The following is a PBE calculation of Li2MgAlH8 after structural relaxation, from the Alexandria database.

```
data_Li2MgAlH8
_chemical_formula_sum 'Li2 Mg1 Al1 H8'
_space_group_name_H-M_alt 'P 1 2/m 1'
_space_group_IT_number 10
_cell_length_a 3.161
_cell_length_b 6.283
_cell_length_c 4.656
_cell_angle_alpha 90.00
_cell_angle_beta 90.13
_cell_angle_gamma 90.00
loop_
_space_group_symop_operation_xyz
'x,y,z'
'-x,-y,-z'
'-x,y,-z'
'x,-y,z'
loop_
_atom_site_label
_atom_site_type_symbol
_atom_site_fract_x
_atom_site_fract_y
_atom_site_fract_z
Li1 Li 0.000 0.244 0.000
Mg1 Mg 0.500 0.000 0.500
Al1 Al 0.500 0.500 0.500
H1 H 0.000 0.000 0.249
H2 H 0.000 0.500 0.288
H3 H 0.499 0.284 0.739
```

## Properties
VASP energy   -3.034 eV/atom
M_tot   0.000 μB/f.u.